No. 1
This record from the Alexandria database describes Sr2BiBr after structural relaxation. The functional is GGA-PBEsol.

```
Sr2BiBr
1.0
-2.394 -4.526 -2.448
3.258 -4.124 -2.140
0.220 -5.060 2.561
Br Sr Bi
1 2 1
Cartesian
0.000 0.000 0.000
0.813 -10.282 -1.520
0.271 -3.427 -0.507
0.542 -6.855 -1.014
```

Output
Uncorrected formation energy   -1.30 eV/atom
Space-group type   Fm-3m, No. 225
Electronic total energy   -15.04 eV/cell
Theoretical density   5.96 g cm⁻³



No. 2
This record from the Alexandria database describes ScPIr2 after structural relaxation. The functional is GGA-PBEsol.

```
ScPIr2
1.0
-0.252 -3.094 -0.742
1.170 -0.782 2.865
-5.387 -0.083 2.177
Ir Sc P
2 1 1
Cartesian
-4.125 -0.063 1.667
-1.262 -0.019 0.510
-2.235 -1.980 2.150
0.459 -1.938 1.061
```

Output
E_form   -461.6 meV/atom
Space-group type   P4/mmm, No. 123
Electronic total energy   -33.89 eV/cell
Theoretical density   12.91 g cm⁻³



No. 3
This record from the Alexandria database describes BaBe13 after structural relaxation. The functional is GGA-PBEsol.

```
BaBe13
1.0
-5.861 0.818 4.543
0.953 -0.226 7.396
-0.741 6.222 4.049
Be Ba
26 2
Cartesian
-2.825 3.407 7.994
-4.351 2.330 4.894
0.000 0.000 0.000
-1.957 1.531 8.638
-0.949 3.525 9.069
-4.208 1.865 8.624
-3.365 0.789 10.433
-2.896 2.984 10.116
-2.285 6.025 5.554
-5.252 1.113 6.600
-2.582 5.096 9.327
-1.299 4.484 11.093
-4.628 6.332 9.129
-3.068 1.718 6.660
-0.398 5.701 9.388
-0.652 4.454 5.296
-2.754 3.830 5.871
-5.940 5.213 7.637
0.291 1.601 8.350
-1.441 4.949 7.363
-1.056 2.748 6.932
-4.701 3.289 6.919
-4.593 4.067 9.055
-3.693 5.284 7.349
-4.998 2.360 10.691
-1.022 0.482 6.858
-1.412 1.704 3.997
-4.237 5.111 11.990
```

Output
E_form   33.3 meV/atom
Space-group type   Fm-3c, No. 226
Electronic total energy   -107.37 eV/cell
Theoretical density   2.88 g cm⁻³



No. 4
This record from the Alexandria database describes HfZr3Rh after structural relaxation. The functional is GGA-PBEsol.

```
HfZr3Rh
1.0
-3.165 -3.544 -1.310
-0.390 -1.393 4.711
-3.758 3.129 0.614
Hf Zr Rh
1 3 1
Cartesian
-3.656 -0.904 2.008
-1.582 -1.772 -0.655
-0.195 -0.696 2.356
-1.879 1.565 0.307
0.000 0.000 0.000
```

Output
E_form   339.8 meV/atom
Space-group type   Pm-3m, No. 221
Electronic total energy   -44.21 eV/cell
Theoretical density   7.70 g cm⁻³



No. 5
This record from the Alexandria database describes MnZnBr2 after structural relaxation. The functional is GGA-PBEsol.

```
MnZnBr2
1.0
-1.265 -2.785 -1.709
2.951 -0.041 -2.118
2.441 -5.120 6.537
Br Zn Mn
2 1 1
Cartesian
1.256 -1.605 1.686
4.136 -3.556 2.733
0.843 -1.413 -1.913
0.588 -3.952 2.414
```

Output
Uncorrected formation energy   -0.04 eV/atom
Polymorph energy (0 for the lowest one)   0 meV per atom
Space-group type   P2/m, No. 10
Electronic total energy   -15.22 eV/cell
Theoretical density   4.31 g cm⁻³



No. 6
This record from the Alexandria database describes Na2Sm2Ti3O10 after structural relaxation. The functional is GGA-PBEsol.

```
Na2Sm2Ti3O10
1.0
3.795 0.000 0.000
0.000 3.795 0.000
-1.898 -1.898 14.166
Ti Sm O Na
3 2 10 2
Cartesian
1.898 1.898 10.042
0.000 0.000 0.000
0.000 0.000 4.124
1.898 1.898 2.121
0.000 0.000 12.045
0.000 0.000 5.880
0.000 1.898 0.000
0.000 1.898 3.685
0.000 1.898 10.482
0.000 0.000 1.911
1.898 0.000 3.685
1.898 1.898 12.256
1.898 1.898 8.286
1.898 0.000 10.482
1.898 0.000 0.000
1.898 1.898 6.006
0.000 0.000 8.161
```

Output
Uncorrected formation energy   -2.99 eV/atom
Space-group type   I4/mmm, No. 139
Electronic total energy   -141.27 eV/cell
Theoretical density   5.29 g cm⁻³



No. 7
This record from the Alexandria database describes Mo2C after structural relaxation. The functional is GGA-PBEsol.

```
Mo2C
1.0
-1.033 -2.604 -3.789
1.918 -4.187 2.355
-5.410 -1.189 2.292
Mo C
8 4
Cartesian
0.849 -4.640 1.516
-1.499 -2.871 0.892
-2.660 -2.725 -1.773
-5.374 -3.341 -0.659
-4.196 -3.444 2.070
-1.865 -5.256 2.631
-3.026 -5.110 -0.035
-0.329 -4.537 -1.212
-2.890 -1.787 2.016
-3.824 -5.486 1.882
-0.701 -2.495 -1.024
-0.602 -3.589 2.631
```

Output
E_form   -201.8 meV/atom
Space-group type   Pbcn, No. 60
Electronic total energy   -135.14 eV/cell
Theoretical density   9.27 g cm⁻³



No. 8
This record from the Alexandria database describes La2Cu2SeSO2 after structural relaxation. The functional is GGA-PBEsol.

```
La2Cu2SeSO2
1.0
3.969 0.000 0.000
0.000 3.969 0.000
0.000 0.000 8.508
La Se O Cu S
2 1 2 2 1
Cartesian
0.000 0.000 1.294
1.984 1.984 7.304
0.000 0.000 5.670
1.984 0.000 0.046
0.000 1.984 0.046
0.000 1.984 4.146
1.984 0.000 4.146
1.984 1.984 2.873
```

Output
Uncorrected formation energy   -2.07 eV/atom
Space-group type   P4mm, No. 99
Electronic total energy   -54.65 eV/cell
Theoretical density   6.79 g cm⁻³



No. 9
This record from the Alexandria database describes AlCuTc2 after structural relaxation. The functional is GGA-PBEsol.

```
AlCuTc2
1.0
2.728 0.000 0.000
0.000 4.246 0.000
0.000 0.000 4.646
Tc Al Cu
2 1 1
Cartesian
0.000 0.000 0.078
0.000 2.123 3.429
1.364 0.000 2.393
1.364 2.123 1.068
```

Output
E_form   -46.9 meV/atom
Space-group type   Pmm2, No. 25
Electronic total energy   -31.15 eV/cell
Theoretical density   8.84 g cm⁻³



No. 10
This record from the Alexandria database describes PtC2Br after structural relaxation. The functional is GGA-PBEsol.

```
PtC2Br
1.0
-1.846 -1.106 -3.445
-3.075 -2.652 0.105
-3.788 1.251 -0.766
Pt C Br
1 2 1
Cartesian
-4.355 -1.254 -2.053
-6.532 -1.880 -3.080
-2.177 -0.627 -1.027
0.000 0.000 0.000
```

Output
Uncorrected formation energy   2.70 eV/atom
Space-group type   Fm-3m, No. 225
Electronic total energy   -17.33 eV/cell
Theoretical density   10.48 g cm⁻³



No. 11
This record from the Alexandria database describes BiSbRu2 after structural relaxation. The functional is GGA-PBEsol.

```
BiSbRu2
1.0
-2.103 3.078 -2.784
-4.576 -0.313 -0.777
-2.887 3.172 1.801
Sb Bi Ru
1 1 2
Cartesian
0.000 0.000 0.000
-4.783 2.968 -0.880
-2.392 1.484 -0.440
-7.175 4.453 -1.320
```

Output
Uncorrected formation energy   0.34 eV/atom
Space-group type   Fm-3m, No. 225
Electronic total energy   -27.83 eV/cell
Theoretical density   12.43 g cm⁻³



No. 12
This record from the Alexandria database describes BePt2 after structural relaxation. The functional is GGA-PBEsol.

```
BePt2
1.0
4.629 -0.007 0.000
-2.194 4.076 0.000
-1.218 -2.034 3.976
Be Pt
2 4
Cartesian
1.826 3.052 0.000
0.609 1.017 0.000
-0.577 0.346 1.988
1.706 -1.021 3.303
1.795 1.689 1.988
-0.488 3.055 0.673
```

Output
E_form   -477.2 meV/atom
Space-group type   I4/mcm, No. 140
Electronic total energy   -38.72 eV/cell
Theoretical density   17.69 g cm⁻³